1:
Computed, not measured: CsHo2CuSeS3 after structural relaxation at the PBE-GGA level of DFT.

Structure (extended XYZ):
```
16
Lattice="2.024 -7.112 0.000 2.024 7.112 0.000 0.000 0.000 13.859" Properties=species:S:1:pos:R:3 pbc="T T T"
Cs 2.024 5.638 10.394
Cs 2.024 -5.638 3.465
Ho 2.024 1.978 7.809
Ho 2.024 1.978 12.980
Ho 2.024 -1.978 0.879
Ho 2.024 -1.978 6.050
Cu 2.024 4.702 3.465
Cu 2.024 -4.702 10.394
Se 0.000 0.000 0.000
Se 0.000 0.000 6.930
S 2.024 3.461 1.463
S 2.024 3.461 5.467
S 2.024 1.208 10.394
S 2.024 -1.208 3.465
S 2.024 -3.461 8.392
S 2.024 -3.461 12.396
```

Properties
**SG**: No. 63
**Total magnetization**: 0.00 μB per cell

***

2:
Computed, not measured: CsHo2CuSeS3 after structural relaxation at the PBE-GGA level of DFT.

Structure (extended XYZ):
```
16
Lattice="2.019 -7.079 0.000 2.019 7.079 0.000 0.000 0.000 14.010" Properties=species:S:1:pos:R:3 pbc="T T T"
Cs 2.019 5.476 10.508
Cs 2.019 -5.476 3.503
Ho 2.019 1.896 7.809
Ho 2.019 1.896 13.207
Ho 2.019 -1.896 0.803
Ho 2.019 -1.896 6.202
Cu 2.019 4.634 3.503
Cu 2.019 -4.634 10.508
Se 2.019 1.081 10.508
Se 2.019 -1.081 3.503
S 0.000 0.000 0.000
S 0.000 0.000 7.005
S 2.019 3.489 1.450
S 2.019 3.489 5.555
S 2.019 -3.489 8.455
S 2.019 -3.489 12.561
```

Properties
**SG**: No. 63
**Total magnetization**: 0.00 μB per cell

***

Most stable: 1

***

1:
Computed, not measured: CsInCu after structural relaxation at the PBE-GGA level of DFT.

Structure (extended XYZ):
```
12
Lattice="7.688 0.000 0.000 0.000 7.688 0.000 0.000 0.000 7.688" Properties=species:S:1:pos:R:3 pbc="T T T"
Cs 0.000 0.000 0.000
Cs 0.000 3.844 3.844
Cs 3.844 0.000 3.844
Cs 3.844 3.844 0.000
In 0.000 0.000 3.844
In 0.000 3.844 0.000
In 3.844 0.000 0.000
In 3.844 3.844 3.844
Cu 1.922 1.922 1.922
Cu 1.922 5.766 5.766
Cu 5.766 1.922 5.766
Cu 5.766 5.766 1.922
```

Properties
**SG**: No. 216

***

2:
Computed, not measured: CsInCu after structural relaxation at the PBE-GGA level of DFT.

Structure (extended XYZ):
```
12
Lattice="7.842 0.000 0.000 0.000 7.842 0.000 0.000 0.000 7.842" Properties=species:S:1:pos:R:3 pbc="T T T"
Cs 0.000 0.000 0.000
Cs 0.000 3.921 3.921
Cs 3.921 0.000 3.921
Cs 3.921 3.921 0.000
In 1.961 1.961 1.961
In 1.961 5.882 5.882
In 5.882 1.961 5.882
In 5.882 5.882 1.961
Cu 0.000 0.000 3.921
Cu 0.000 3.921 0.000
Cu 3.921 0.000 0.000
Cu 3.921 3.921 3.921
```

Properties
**SG**: No. 216

***

Most stable: 1

***

1:
Computed, not measured: CsInCuTe3 after structural relaxation at the PBE-GGA level of DFT.

Structure (extended XYZ):
```
12
Lattice="2.062 -8.622 0.000 2.062 8.622 0.000 0.000 0.000 11.787" Properties=species:S:1:pos:R:3 pbc="T T T"
Cs 2.062 4.390 8.840
Cs 2.062 -4.390 2.947
In 2.062 0.000 0.000
In 2.062 0.000 5.893
Cu 2.062 7.909 2.947
Cu 2.062 -7.909 8.840
Te 2.062 6.606 0.651
Te 2.062 6.606 5.242
Te 2.062 0.931 2.947
Te 2.062 -0.931 8.840
Te 2.062 -6.606 6.545
Te 2.062 -6.606 11.135
```

Properties
**SG**: No. 63

***

2:
Computed, not measured: CsInCuTe3 after structural relaxation at the PBE-GGA level of DFT.

Structure (extended XYZ):
```
12
Lattice="10.605 0.000 0.000 0.000 4.172 0.000 -4.549 0.000 9.797" Properties=species:S:1:pos:R:3 pbc="T T T"
Cs 1.156 1.043 2.409
Cs 4.900 3.129 7.388
In -0.411 3.129 8.443
In 6.467 1.043 1.354
Cu -1.918 1.043 5.675
Cu 7.974 3.129 4.122
Te -2.525 1.043 8.273
Te -0.326 3.129 5.323
Te 4.330 3.129 1.606
Te 1.726 1.043 8.191
Te 6.382 1.043 4.474
Te 8.581 3.129 1.524
```

Properties
**SG**: No. 11

***

Most stable: 2

***

1:
Computed, not measured: CsCuIr after structural relaxation at the PBE-GGA level of DFT.

Structure (extended XYZ):
```
12
Lattice="6.711 0.000 0.000 0.000 6.711 0.000 0.000 0.000 6.711" Properties=species:S:1:pos:R:3 pbc="T T T"
Cs 0.000 0.000 0.000
Cs 0.000 3.356 3.356
Cs 3.356 0.000 3.356
Cs 3.356 3.356 0.000
Cu 0.000 0.000 3.356
Cu 0.000 3.356 0.000
Cu 3.356 0.000 0.000
Cu 3.356 3.356 3.356
Ir 1.678 1.678 1.678
Ir 1.678 5.033 5.033
Ir 5.033 1.678 5.033
Ir 5.033 5.033 1.678
```

Properties
**SG**: No. 216
**Total magnetization**: 1.85 μB per cell

***

2:
Computed, not measured: CsCuIr after structural relaxation at the PBE-GGA level of DFT.

Structure (extended XYZ):
```
12
Lattice="6.626 0.000 0.000 0.000 6.626 0.000 0.000 0.000 6.626" Properties=species:S:1:pos:R:3 pbc="T T T"
Cs 0.000 0.000 0.000
Cs 0.000 3.313 3.313
Cs 3.313 0.000 3.313
Cs 3.313 3.313 0.000
Cu 1.656 1.656 1.656
Cu 1.656 4.969 4.969
Cu 4.969 1.656 4.969
Cu 4.969 4.969 1.656
Ir 0.000 0.000 3.313
Ir 0.000 3.313 0.000
Ir 3.313 0.000 0.000
Ir 3.313 3.313 3.313
```

Properties
**SG**: No. 216
**Total magnetization**: 3.98 μB per cell

***

Most stable: 1

***

1:
Computed, not measured: CsCuIrS3 after structural relaxation at the PBE-GGA level of DFT.

Structure (extended XYZ):
```
12
Lattice="1.861 -7.691 0.000 1.861 7.691 0.000 0.000 0.000 9.472" Properties=species:S:1:pos:R:3 pbc="T T T"
Cs 1.861 3.887 7.104
Cs 1.861 -3.887 2.368
Cu 1.861 0.481 2.368
Cu 1.861 -0.481 7.104
Ir 0.000 0.000 0.000
Ir 0.000 0.000 4.736
S 1.861 6.811 2.368
S 1.861 1.511 0.369
S 1.861 1.511 4.367
S 1.861 -1.511 5.105
S 1.861 -1.511 9.103
S 1.861 -6.811 7.104
```

Properties
**SG**: No. 63
**Total magnetization**: 0.02 μB per cell

***

2:
Computed, not measured: CsCuIrS3 after structural relaxation at the PBE-GGA level of DFT.

Structure (extended XYZ):
```
24
Lattice="15.033 0.000 0.000 0.000 3.769 0.000 0.000 0.000 9.727" Properties=species:S:1:pos:R:3 pbc="T T T"
Cs 3.602 0.942 0.455
Cs 3.914 2.827 5.319
Cs 11.119 0.942 4.408
Cs 11.430 2.827 9.271
Cu 0.141 2.827 0.830
Cu 7.375 0.942 5.693
Cu 7.658 2.827 4.034
Cu 14.891 0.942 8.897
Ir 0.238 0.942 3.318
Ir 7.278 2.827 8.182
Ir 7.754 0.942 1.545
Ir 14.795 2.827 6.408
S 1.012 0.942 5.553
S 1.129 2.827 8.427
S 1.605 2.827 2.616
S 5.911 0.942 7.480
S 6.387 0.942 3.564
S 6.504 2.827 0.690
S 8.528 0.942 9.037
S 8.646 2.827 6.163
S 9.122 2.827 2.247
S 13.427 0.942 7.110
S 13.903 0.942 1.300
S 14.021 2.827 4.174
```

Properties
**SG**: No. 62
**Total magnetization**: 0.03 μB per cell

***

Most stable: 2

***

1:
Computed, not measured: CsCuIrSe3 after structural relaxation at the PBE-GGA level of DFT.

Structure (extended XYZ):
```
12
Lattice="8.748 0.000 0.000 0.000 3.928 0.000 -4.357 0.000 9.074" Properties=species:S:1:pos:R:3 pbc="T T T"
Cs 1.002 0.982 2.448
Cs 3.389 2.946 6.626
Cu -1.942 0.982 5.382
Cu 6.333 2.946 3.692
Ir -0.912 2.946 7.722
Ir 5.303 0.982 1.352
Se -2.544 0.982 7.727
Se -0.468 2.946 5.190
Se 3.707 2.946 1.127
Se 0.684 0.982 7.947
Se 4.859 0.982 3.884
Se 6.935 2.946 1.346
```

Properties
**SG**: No. 11
**Total magnetization**: 0.00 μB per cell

***

2:
Computed, not measured: CsCuIrSe3 after structural relaxation at the PBE-GGA level of DFT.

Structure (extended XYZ):
```
12
Lattice="1.932 -8.002 0.000 1.932 8.002 0.000 0.000 0.000 9.910" Properties=species:S:1:pos:R:3 pbc="T T T"
Cs 1.932 4.091 7.432
Cs 1.932 -4.091 2.477
Cu 1.932 0.550 2.477
Cu 1.932 -0.550 7.432
Ir 0.000 0.000 0.000
Ir 0.000 0.000 4.955
Se 1.932 7.070 2.477
Se 1.932 1.619 0.350
Se 1.932 1.619 4.604
Se 1.932 -1.619 5.305
Se 1.932 -1.619 9.559
Se 1.932 -7.070 7.432
```

Properties
**SG**: No. 63
**Total magnetization**: 0.01 μB per cell

***

3:
Computed, not measured: CsCuIrSe3 after structural relaxation at the PBE-GGA level of DFT.

Structure (extended XYZ):
```
24
Lattice="12.400 0.000 0.000 0.000 3.981 0.000 0.000 0.000 13.107" Properties=species:S:1:pos:R:3 pbc="T T T"
Cs 2.216 0.995 0.063
Cs 3.985 2.986 6.617
Cs 8.416 0.995 6.490
Cs 10.185 2.986 13.044
Cu 3.050 2.986 2.822
Cu 3.150 0.995 9.375
Cu 9.250 2.986 3.732
Cu 9.350 0.995 10.285
Ir 0.279 2.986 9.035
Ir 5.921 0.995 2.481
Ir 6.479 2.986 10.626
Ir 12.121 0.995 4.072
Se 0.656 2.986 2.789
Se 1.115 0.995 7.716
Se 2.352 2.986 10.266
Se 3.848 0.995 3.713
Se 5.085 2.986 1.163
Se 5.544 0.995 9.342
Se 6.856 2.986 3.765
Se 7.315 0.995 11.944
Se 8.552 2.986 9.394
Se 10.048 0.995 2.841
Se 11.286 2.986 5.391
Se 11.745 0.995 10.318
```

Properties
**SG**: No. 62
**Total magnetization**: 0.66 μB per cell

***

Most stable: 1